VASP calculation (GGA-PBE) on an optimized crystal structure of LaCrFeP2.

POSCAR file:
```
LaCrFeP2
1.0
-1.656 -3.073 -1.505
3.024 -2.097 0.953
-3.114 1.397 5.375
La Cr Fe P
1 1 1 2
direct
0.000 0.000 0.000 La
0.250 0.750 0.500 Cr
0.750 0.250 0.500 Fe
0.641 0.641 0.282 P
0.359 0.359 0.718 P
```

Output
**Symmetry**: No. 119
**Formation energy**: -892 meV/atom